1.
DFT (PBE) results for a relaxed CrTe2Rh crystal. Values from VASP.

Properties
- Uncorrected energy: -22.540 eV for the cell shown
- E above lowest polymorph: 0.320 eV/atom
- Symmetry: Cmmm
- Formation energy (no corrections): 0.180 eV per atom

```
&SYSTEM
  ibrav = 0, nat = 4, ntyp = 3
/
ATOMIC_SPECIES
Cr 52.00 Cr.upf
Te 127.60 Te.upf
Rh 102.91 Rh.upf
CELL_PARAMETERS angstrom
3.025 -3.851 0.000
3.025 3.851 0.000
0.000 0.000 3.947
ATOMIC_POSITIONS crystal
Cr 0.000 0.000 0.000
Te 0.272 0.728 0.500
Te 0.728 0.272 0.500
Rh 0.500 0.500 0.000
```



2.
DFT (PBE) results for a relaxed Ba3MgMn2S6 crystal. Values from VASP.

Properties
- Uncorrected energy: -65.206 eV for the cell shown
- Symmetry: P-3m1
- Formation energy (no corrections): -1.228 eV per atom

```
&SYSTEM
  ibrav = 0, nat = 12, ntyp = 4
/
ATOMIC_SPECIES
Ba 137.33 Ba.upf
Mg 24.30 Mg.upf
Mn 54.94 Mn.upf
S 32.06 S.upf
CELL_PARAMETERS angstrom
7.241 0.000 0.000
-3.621 6.271 0.000
0.000 0.000 7.849
ATOMIC_POSITIONS crystal
Ba 0.000 0.000 0.000
Ba 0.333 0.667 0.626
Ba 0.667 0.333 0.374
Mg 0.000 0.000 0.500
Mn 0.333 0.667 0.196
Mn 0.667 0.333 0.804
S 0.165 0.330 0.300
S 0.165 0.835 0.300
S 0.330 0.165 0.700
S 0.670 0.835 0.300
S 0.835 0.165 0.700
S 0.835 0.670 0.700
```



3.
DFT (PBE) results for a relaxed TiNb2Ga4 crystal. Values from VASP.

Properties
- Uncorrected energy: -84.063 eV for the cell shown
- ΔE_f: -0.270 eV/atom
- Symmetry: P2_1/m

```
&SYSTEM
  ibrav = 0, nat = 14, ntyp = 3
/
ATOMIC_SPECIES
Ti 47.87 Ti.upf
Nb 92.91 Nb.upf
Ga 69.72 Ga.upf
CELL_PARAMETERS angstrom
5.229 0.000 0.000
0.000 5.148 0.000
-2.592 0.000 8.537
ATOMIC_POSITIONS crystal
Ti 0.188 0.250 0.191
Ti 0.812 0.750 0.809
Nb 0.342 0.750 0.416
Nb 0.365 0.750 0.018
Nb 0.635 0.250 0.982
Nb 0.658 0.250 0.584
Ga 0.067 0.250 0.884
Ga 0.114 0.250 0.465
Ga 0.325 0.511 0.724
Ga 0.325 0.989 0.724
Ga 0.675 0.011 0.276
Ga 0.675 0.489 0.276
Ga 0.886 0.750 0.535
Ga 0.933 0.750 0.116
```



4.
DFT (PBE) results for a relaxed LiPrDy2 crystal. Values from VASP.

Properties
- Uncorrected energy: -15.065 eV for the cell shown
- ΔE_f: 0.208 eV/atom
- E above lowest polymorph: 0.130 eV/atom
- Symmetry: R-3m

```
&SYSTEM
  ibrav = 0, nat = 4, ntyp = 3
/
ATOMIC_SPECIES
Li 6.94 Li.upf
Pr 140.91 Pr.upf
Dy 162.50 Dy.upf
CELL_PARAMETERS angstrom
1.751 1.011 12.267
-1.751 1.011 12.267
0.000 -2.022 12.267
ATOMIC_POSITIONS crystal
Li 0.000 0.000 0.000
Pr 0.500 0.500 0.500
Dy 0.088 0.088 0.088
Dy 0.912 0.912 0.912
```



no.,Fermi-level density of states (states/eV per cell)
1,1.97
2,2.86
3,7.79
4,5.73